Record 1
Nd2Cu2Ni3 | Alexandria | PBE-GGA | relaxed; energy above the most stable polymorph in this dataset = 0.0 meV/atom
1.0
4.0540 0.0000 0.0000
-2.0270 5.0682 0.4447
0.0000 -2.1713 6.0331
Nd Cu Ni
2 2 3
Cartesian
2.0270 2.7849 2.0067
0.0000 0.1120 4.4711
0.0000 0.6404 1.1914
2.0270 2.2565 5.2864
2.0270 -0.1559 2.3284
2.0270 0.0000 0.0000
0.0000 3.0529 4.1494

=====

Record 2
Cs2Sn2Sb2As | Alexandria | PBE-GGA | relaxed; formation energy without anion corrections = -0.195 eV per atom
1.0
-4.4843 -3.1895 -0.7540
0.6339 -6.0535 5.2323
-3.8644 0.5454 7.7841
Cs Sn Sb As
2 2 2 1
Cartesian
-5.3423 -6.7793 10.2752
-2.3725 -1.9183 1.9872
-6.6005 -4.5973 7.0040
-1.1143 -4.1002 5.2584
-3.2191 -4.2150 7.4099
-4.4957 -4.4825 4.8526
0.0000 0.0000 0.0000

=====

Record 3
Cr3Ir | Alexandria | PBE-GGA | relaxed; E_tot = -9.37 eV per atom
1.0
4.4899 0.0000 0.0000
0.0000 8.5026 0.0000
0.0000 0.0000 5.2724
Cr Ir
12 4
Cartesian
4.0131 2.1257 4.6032
1.0905 0.0299 1.9312
2.7218 6.3770 1.9670
1.7681 2.1257 3.3055
1.1544 4.2812 4.5675
3.3994 8.4727 3.3412
3.3355 4.2214 0.7050
1.0905 4.2214 1.9312
3.3994 4.2812 3.3412
3.3355 0.0299 0.7050
1.1544 8.4727 4.5675
0.4769 6.3770 0.6693
1.7963 2.1257 0.5936
0.4487 6.3770 3.2298
4.0413 2.1257 2.0426
2.6936 6.3770 4.6788

=====

Result set for D(E_F): 4.8 3.0 22.0 states/eV per cell, one per record in the order listed.
Result set for total moment: 0.00 0.00 0.00 μB/cell, one per record in the order listed.